1.
Below is an optimized crystal structure of CuTcOs2, with properties calculated at the PBE level.

The calculation puts the density of states at the Fermi level at 9.4 states/eV/cell. The value obtained for the total energy is -71.30 eV for the cell shown. The formation energy is 1.27 eV/f.u. As for the relative energy among the computed polymorphs: 0.145 eV per atom.

It has space group I4/mmm (No. 139), with a = 3.813 Å, b = 3.813 Å, c = 7.674 Å, α = 90.00°, β = 90.00° and γ = 90.00°. The asymmetric unit holds Cu at (0.000, 0.000, 0.000), Tc at (0.000, 0.000, 0.500) and Os at (0.000, 0.500, 0.250).

***

2.
Below is an optimized crystal structure of CuTcOs2, with properties calculated at the PBE level.

The calculation puts the density of states at the Fermi level at 17.1 states/eV/cell. The value obtained for the total energy is -108.69 eV for the cell shown. The formation energy is 0.69 eV/f.u. As for the relative energy among the computed polymorphs: 0.000 eV per atom.

It has space group R-3m (No. 166, hexagonal axes), with a = 2.7201 Å, b = 2.7201 Å, c = 26.3458 Å, α = 90.00°, β = 90.00° and γ = 120.00°. The asymmetric unit holds Cu at (0.0000, 0.0000, 0.0000), Tc at (0.0000, 0.0000, 0.5000) and Os at (0.0000, 0.0000, 0.2496).

***

3.
Below is an optimized crystal structure of CuTcOs2, with properties calculated at the PBE level.

The calculation puts the density of states at the Fermi level at 5.2 states/eV/cell. The value obtained for the total energy is -34.87 eV for the cell shown. The formation energy is 2.05 eV/f.u. As for the relative energy among the computed polymorphs: 0.340 eV per atom.

It has space group Pmmm (No. 47), with a = 2.787 Å, b = 4.478 Å, c = 4.544 Å, α = 90.00°, β = 90.00° and γ = 90.00°. The asymmetric unit holds Cu at (0.000, 0.000, 0.000), Tc at (0.500, 0.000, 0.500), Os at (0.000, 0.500, 0.500) and Os at (0.500, 0.500, 0.000).

***

4.
Below is an optimized crystal structure of Cu4TcOs, with properties calculated at the PBE level.

The calculation puts the density of states at the Fermi level at 17.8 states/eV/cell. The value obtained for the total energy is -144.82 eV for the cell shown. The formation energy is 1.77 eV/f.u.

It has space group F-43m (No. 216), with a = 6.688 Å, b = 6.688 Å, c = 6.688 Å, α = 90.00°, β = 90.00° and γ = 90.00°. The asymmetric unit holds Cu at (0.125, 0.125, 0.125), Tc at (0.000, 0.000, 0.500) and Os at (0.250, 0.250, 0.750).

***

5.
Below is an optimized crystal structure of CuTcOs2, with properties calculated at the PBE level.

The calculation puts the density of states at the Fermi level at 4.5 states/eV/cell. The value obtained for the total energy is -35.29 eV for the cell shown. The formation energy is 1.63 eV/f.u. As for the relative energy among the computed polymorphs: 0.235 eV per atom.

It has space group P4/mmm (No. 123), with a = 3.827 Å, b = 3.827 Å, c = 3.808 Å, α = 90.00°, β = 90.00° and γ = 90.00°. The asymmetric unit holds Cu at (0.000, 0.000, 0.000), Tc at (0.500, 0.500, 0.000) and Os at (0.000, 0.500, 0.500).

***

6.
Below is an optimized crystal structure of Cu2TcOs, with properties calculated at the PBE level.

The calculation puts the density of states at the Fermi level at 8.1 states/eV/cell. The value obtained for the total energy is -111.32 eV for the cell shown. The formation energy is 1.96 eV/f.u. As for the relative energy among the computed polymorphs: 0.353 eV per atom.

It has space group Fm-3m (No. 225), with a = 5.940 Å, b = 5.940 Å, c = 5.940 Å, α = 90.00°, β = 90.00° and γ = 90.00°. The asymmetric unit holds Cu at (0.250, 0.250, 0.250), Tc at (0.000, 0.000, 0.000) and Os at (0.000, 0.000, 0.500).

***

7.
Below is an optimized crystal structure of CuTcOs2, with properties calculated at the PBE level.

The calculation puts the density of states at the Fermi level at 6.9 states/eV/cell. The value obtained for the total energy is -70.57 eV for the cell shown. The formation energy is 1.64 eV/f.u. As for the relative energy among the computed polymorphs: 0.237 eV per atom.

It has space group Imm2 (No. 44), with a = 2.897 Å, b = 4.355 Å, c = 8.812 Å, α = 90.00°, β = 90.00° and γ = 90.00°. The asymmetric unit holds Cu at (0.000, 0.000, 0.000), Tc at (0.000, 0.500, 0.740), Os at (0.000, 0.000, 0.503) and Os at (0.000, 0.500, 0.261).

***

8.
Below is an optimized crystal structure of Cu2TcOs, with properties calculated at the PBE level.

The calculation puts the density of states at the Fermi level at 9.3 states/eV/cell. The value obtained for the total energy is -56.43 eV for the cell shown. The formation energy is 1.57 eV/f.u. As for the relative energy among the computed polymorphs: 0.256 eV per atom.

It has space group I4/mmm (No. 139), with a = 3.644 Å, b = 3.644 Å, c = 8.084 Å, α = 90.00°, β = 90.00° and γ = 90.00°. The asymmetric unit holds Cu at (0.000, 0.500, 0.250), Tc at (0.000, 0.000, 0.000) and Os at (0.000, 0.000, 0.500).